[1]
Here is crystalline Rb8Ga2Pd at its relaxed geometry from OQMD. Energies are from GGA-PBE.

Output
- final energy (eV/atom) = -1.674
- crystal system = monoclinic
- space group = No. 8

Unit cell a=9.915 b=9.915 c=7.809 alpha=95.87 beta=95.87 gamma=75.50
Positions (direct):
Ga 0.125 0.125 0.210
Ga 0.874 0.874 0.788
Pd 0.999 0.999 0.999
Rb 0.836 0.403 0.174
Rb 0.403 0.836 0.174
Rb 0.879 0.879 0.304
Rb 0.357 0.357 0.315
Rb 0.642 0.642 0.681
Rb 0.120 0.120 0.692
Rb 0.596 0.163 0.822
Rb 0.163 0.596 0.822


[2]
Here is crystalline RbGaPdS3 at its relaxed geometry from OQMD. Energies are from GGA-PBE.

Output
- final energy (eV/atom) = -4.139
- crystal system = monoclinic
- space group = No. 11

Unit cell a=8.503 b=3.833 c=9.655 alpha=90.00 beta=108.38 gamma=90.00
Positions (direct):
Ga 0.144 0.750 0.128
Ga 0.856 0.250 0.872
Pd 0.406 0.250 0.415
Pd 0.594 0.750 0.585
Rb 0.708 0.750 0.253
Rb 0.292 0.250 0.747
S 0.947 0.250 0.130
S 0.354 0.250 0.158
S 0.253 0.750 0.401
S 0.747 0.250 0.599
S 0.646 0.750 0.842
S 0.053 0.750 0.870


[3]
Here is crystalline RbGaPdSe3 at its relaxed geometry from OQMD. Energies are from GGA-PBE.

Output
- final energy (eV/atom) = -3.826
- crystal system = monoclinic
- space group = No. 11

Unit cell a=8.899 b=4.233 c=9.712 alpha=90.00 beta=107.13 gamma=90.00
Positions (direct):
Ga 0.847 0.250 0.384
Ga 0.153 0.750 0.616
Pd 0.554 0.750 0.098
Pd 0.446 0.250 0.902
Rb 0.306 0.250 0.258
Rb 0.694 0.750 0.742
Se 0.702 0.250 0.103
Se 0.039 0.750 0.350
Se 0.648 0.750 0.362
Se 0.352 0.250 0.638
Se 0.961 0.250 0.650
Se 0.298 0.750 0.897


[4]
Here is crystalline Ga2Re8Pd at its relaxed geometry from OQMD. Energies are from GGA-PBE.

Output
- final energy (eV/atom) = -9.448
- crystal system = monoclinic
- space group = No. 12

Unit cell a=6.908 b=6.908 c=4.758 alpha=103.60 beta=103.60 gamma=63.37
Positions (direct):
Ga 0.853 0.853 0.384
Ga 0.147 0.147 0.616
Pd 0.000 0.000 0.000
Re 0.573 0.192 0.034
Re 0.192 0.573 0.034
Re 0.230 0.230 0.183
Re 0.586 0.586 0.371
Re 0.414 0.414 0.629
Re 0.770 0.770 0.817
Re 0.808 0.427 0.966
Re 0.427 0.808 0.966


[5]
Here is crystalline GaRePd2 at its relaxed geometry from OQMD. Energies are from GGA-PBE.

Output
- final energy (eV/atom) = -6.347
- crystal system = cubic
- space group = No. 216

Unit cell a=4.390 b=4.390 c=4.390 alpha=60.00 beta=60.00 gamma=60.00
Site moments in Bohr magnetons follow the coordinates.
Positions (direct):
Ga 0.500 0.500 0.500  0.02
Pd 0.000 0.000 0.000  0.18
Pd 0.750 0.750 0.750  0.05
Re 0.250 0.250 0.250  0.69


[6]
Here is crystalline TlGaPdS3 at its relaxed geometry from OQMD. Energies are from GGA-PBE.

Output
- final energy (eV/atom) = -4.150
- crystal system = monoclinic
- space group = No. 11

Unit cell a=7.367 b=3.521 c=11.099 alpha=90.00 beta=107.23 gamma=90.00
Positions (direct):
Ga 0.580 0.750 0.398
Ga 0.420 0.250 0.602
Pd 0.491 0.250 0.113
Pd 0.509 0.750 0.887
S 0.292 0.750 0.025
S 0.739 0.250 0.321
S 0.331 0.250 0.381
S 0.669 0.750 0.619
S 0.261 0.750 0.679
S 0.708 0.250 0.975
Tl 0.998 0.750 0.201
Tl 0.002 0.250 0.799


Q: Which of these has the highest final energy?
A: Rb8Ga2Pd